Record 1
ZrTaP2: optimized geometry, GGA-PBE.

Computed properties:
Fermi-level density of states   0.496 states/eV/atom
Energy relative to the lowest polymorph listed for this composition   296 meV per atom

Lattice parameters (Å, degrees): 4.4986 4.4986 4.4986 60.00 60.00 60.00
Last column: nearest neighbours and their distance in Å.
Atoms (fractional coordinates):
P  0.7500  0.7500  0.7500  4 Zr 2.75, 4 Ta 2.75
Zr  0.0000  0.0000  0.0000  8 P 2.75
P  0.2500  0.2500  0.2500  4 Ta 2.75, 4 Zr 2.75
Ta  0.5000  0.5000  0.5000  8 P 2.75



Record 2
ZrTa2P: optimized geometry, GGA-PBE.

Computed properties:
Calculated total energy   -9.79 eV per atom
Fermi-level density of states   0.976 states/eV/atom

Lattice parameters (Å, degrees): 5.0805 5.0805 5.2926 59.86 59.86 39.28
Last column: nearest neighbours and their distance in Å.
Atoms (fractional coordinates):
Ta  0.9571  0.9571  0.1147  3 P 2.61-2.81, 1 Ta 2.89
Zr  0.5417  0.5417  0.5252  3 P 2.69-2.81, 3 Ta 2.82-2.95
Ta  0.7461  0.7461  0.7592  2 P 2.52, 1 Zr 2.82
P  0.2551  0.2551  0.1010  5 Ta 2.52-2.81, 3 Zr 2.69-2.81



Record 3
ZrTa2P: optimized geometry, GGA-PBE.

Computed properties:
Calculated total energy   -9.40 eV per atom
Fermi-level density of states   0.922 states/eV/atom

Lattice parameters (Å, degrees): 4.6339 4.6339 4.6339 60.00 60.00 60.00
Last column: nearest neighbours and their distance in Å.
Atoms (fractional coordinates):
Ta  0.2500  0.2500  0.2500  4 Ta 2.84, 4 P 2.84
P  0.5000  0.5000  0.5000  4 Zr 2.84, 4 Ta 2.84
Zr  0.7500  0.7500  0.7500  4 Ta 2.84, 4 P 2.84
Ta  0.0000  0.0000  0.0000  4 Zr 2.84, 4 Ta 2.84



Record 4
ZrTa3P: optimized geometry, GGA-PBE.

Computed properties:
Fermi-level density of states   0.957 states/eV/atom
Energy relative to the lowest polymorph listed for this composition   2044 meV per atom

Lattice parameters (Å, degrees): 4.9023 4.9023 4.9023 90.00 90.00 90.00
Last column: nearest neighbours and their distance in Å.
Atoms (fractional coordinates):
Ta  0.0000  0.0000  0.5000  2 Zr 2.45
Ta  0.5000  0.0000  0.0000  2 Zr 2.45
P  0.5000  0.5000  0.5000  12 Ta 3.47
Zr  0.0000  0.0000  0.0000  6 Ta 2.45
Ta  0.0000  0.5000  0.0000  2 Zr 2.45



Record 5
Zr4TaP: optimized geometry, GGA-PBE.

Computed properties:
Calculated total energy   -8.02 eV per atom
Fermi-level density of states   1.830 states/eV/atom

Lattice parameters (Å, degrees): 5.6529 5.6529 5.6529 60.00 60.00 60.00
Last column: nearest neighbours and their distance in Å.
Atoms (fractional coordinates):
P  0.7500  0.7500  0.7500  12 Zr 3.32, 4 Ta 3.46
Zr  0.3732  0.8805  0.3732  6 Zr 2.78-2.87
Ta  0.0000  0.0000  0.0000  12 Zr 3.31, 4 P 3.46
Zr  0.3732  0.3732  0.3732  6 Zr 2.78-2.87
Zr  0.8805  0.3732  0.3732  6 Zr 2.78-2.87
Zr  0.3732  0.3732  0.8805  6 Zr 2.78-2.87



Record 6
ZrTaP2: optimized geometry, GGA-PBE.

Computed properties:
Fermi-level density of states   0.473 states/eV/atom
Energy relative to the lowest polymorph listed for this composition   272 meV per atom

Lattice parameters (Å, degrees): 3.1644 3.1648 6.4449 90.00 90.00 90.00
Last column: nearest neighbours and their distance in Å.
Atoms (fractional coordinates):
Ta  0.5000  0.5000  0.2500  8 P 2.68
P  0.0000  0.0000  0.0214  4 Ta 2.68, 4 Zr 2.84, 1 P 2.95
Zr  0.5000  0.5000  0.7500  8 P 2.84, 4 Zr 3.16
P  0.0000  0.0000  0.4786  4 Ta 2.68, 4 Zr 2.84, 1 P 2.95



Record 7
ZrTaP2: optimized geometry, GGA-PBE.

Computed properties:
Fermi-level density of states   0.736 states/eV/atom
Energy relative to the lowest polymorph listed for this composition   29 meV per atom

Lattice parameters (Å, degrees): 3.5469 3.5469 6.6955 74.64 74.64 60.00
Last column: nearest neighbours and their distance in Å.
Atoms (fractional coordinates):
Ta  0.4962  0.4962  0.5115  6 P 2.50-2.59
P  0.0877  0.0877  0.7369  3 Ta 2.50, 3 Zr 2.61
P  0.2461  0.2461  0.2617  3 Ta 2.59, 3 Zr 2.68
Zr  0.6701  0.6701  0.9898  6 P 2.61-2.68



Record 8
ZrTaP2: optimized geometry, GGA-PBE.

Computed properties:
Fermi-level density of states   0.894 states/eV/atom
Energy relative to the lowest polymorph listed for this composition   0 meV per atom

Lattice parameters (Å, degrees): 6.4385 6.4385 6.4385 149.46 149.17 43.95
Last column: nearest neighbours and their distance in Å.
Atoms (fractional coordinates):
P  0.7003  0.2003  0.5000  2 Ta 2.52, 4 Zr 2.65
Zr  0.2926  0.7926  0.5000  6 P 2.65-2.66
Ta  0.5442  0.5442  0.0000  6 P 2.52-2.60
P  0.9629  0.9629  0.0000  4 Ta 2.60, 2 Zr 2.66



Record 9
ZrTa2P: optimized geometry, GGA-PBE.

Computed properties:
Calculated total energy   -9.68 eV per atom
Fermi-level density of states   0.716 states/eV/atom

Lattice parameters (Å, degrees): 3.4098 3.4098 6.0684 90.00 90.00 90.00
Last column: nearest neighbours and their distance in Å.
Atoms (fractional coordinates):
P  0.5000  0.5000  0.5000  8 Ta 2.74, 2 Zr 3.03
Ta  0.0000  0.0000  0.7154  1 Ta 2.61, 4 P 2.74
Ta  0.0000  0.0000  0.2846  1 Ta 2.61, 4 P 2.74
Zr  0.5000  0.5000  0.0000  8 Ta 2.97, 2 P 3.03



Record 10
ZrTaP2: optimized geometry, GGA-PBE.

Computed properties:
Fermi-level density of states   0.951 states/eV/atom
Energy relative to the lowest polymorph listed for this composition   731 meV per atom

Lattice parameters (Å, degrees): 5.7011 5.7011 7.0161 66.03 66.03 90.00
Last column: nearest neighbours and their distance in Å.
Atoms (fractional coordinates):
Zr  0.5000  0.5000  0.0000  4 P 2.54
Ta  0.7500  0.2500  0.5000  4 P 2.41
P  0.3750  0.3544  0.7500  2 Ta 2.41, 2 Zr 2.54
Ta  0.0000  0.0000  0.0000  4 P 2.41
P  0.8750  0.8956  0.7500  2 Ta 2.41, 2 Zr 2.54
P  0.1044  0.6250  0.2500  2 Ta 2.41, 2 Zr 2.54
P  0.6456  0.1250  0.2500  2 Ta 2.41, 2 Zr 2.54
Zr  0.2500  0.7500  0.5000  4 P 2.54



Record 11
ZrTaP2: optimized geometry, GGA-PBE.

Computed properties:
Fermi-level density of states   0.795 states/eV/atom
Energy relative to the lowest polymorph listed for this composition   923 meV per atom

Lattice parameters (Å, degrees): 8.1464 8.1464 8.1464 22.72 22.72 22.72
Last column: nearest neighbours and their distance in Å.
Atoms (fractional coordinates):
P  0.2513  0.2513  0.2513  3 Ta 2.55, 3 P 2.56
Ta  0.5113  0.5113  0.5113  3 P 2.55
Zr  0.7453  0.7453  0.7453  3 P 2.77, 3 Ta 3.00
P  0.9922  0.9922  0.9922  3 P 2.56, 3 Zr 2.77



Record 12
ZrTaP2: optimized geometry, GGA-PBE.

Computed properties:
Fermi-level density of states   1.277 states/eV/atom
Energy relative to the lowest polymorph listed for this composition   1148 meV per atom

Lattice parameters (Å, degrees): 4.5533 4.5533 4.5533 60.00 60.00 60.00
Last column: nearest neighbours and their distance in Å.
Atoms (fractional coordinates):
P  0.2500  0.2500  0.2500  4 P 2.79, 4 Ta 2.79
P  0.0000  0.0000  0.0000  4 Zr 2.79, 4 P 2.79
Zr  0.7500  0.7500  0.7500  4 Ta 2.79, 4 P 2.79
Ta  0.5000  0.5000  0.5000  4 P 2.79, 4 Zr 2.79



Record 13
ZrTa2P: optimized geometry, GGA-PBE.

Computed properties:
Calculated total energy   -9.79 eV per atom
Fermi-level density of states   0.797 states/eV/atom

Lattice parameters (Å, degrees): 3.3948 3.3948 6.1532 90.00 90.00 90.00
Last column: nearest neighbours and their distance in Å.
Atoms (fractional coordinates):
P  0.5000  0.5000  0.7743  5 Ta 2.71-2.82, 4 Zr 2.88
Ta  0.0000  0.0000  0.9786  4 P 2.71, 1 Zr 2.85, 4 Ta 2.86
Ta  0.5000  0.5000  0.2322  1 P 2.82, 4 Ta 2.86, 4 Zr 2.96
Zr  0.0000  0.0000  0.5150  5 Ta 2.85-2.96, 4 P 2.88